A relaxed RbCoPbF6 crystal, computed with PBE+U.

Raw total energy ... -4.58 eV/atom
Crystal system ... triclinic
V ... 19.381 A^3/atom
Total moment ... 0.00 μB/f.u.

Unit cell a=5.941 b=5.941 c=5.711 alpha=90.02 beta=89.98 gamma=59.91
Element x y z (fractional)
F 0.072 0.591 0.689
F 0.073 0.336 0.310
F 0.592 0.072 0.311
F 0.337 0.073 0.690
F 0.590 0.337 0.690
F 0.336 0.591 0.310
Rb 0.000 0.000 0.000
Pb 0.666 0.666 0.499
Co 0.333 0.333 0.500